[1]
An optimized crystal structure of ZnCr3Co. Source: the Alexandria database, functional GGA-PBE.

As for the total energy: -5.655 eV per atom. For the formation energy, the calculation gives 1.795 eV/atom. The symmetry is Pm-3m, No. 221. The calculation puts the magnetic moment at 12.00 μB/cell. As for the polymorph energy (0 for the lowest one): 642 meV per atom.

Cell and atoms, written as CIF:
```
data_ZnCr3Co
_cell_length_a 4.583
_cell_length_b 4.583
_cell_length_c 4.583
_cell_angle_alpha 90.00
_cell_angle_beta 90.00
_cell_angle_gamma 90.00
_space_group_name_H-M_alt 'P 1'
_space_group_IT_number 1
_space_group_name_Hall 'P 1'
loop_
_atom_site_label
_atom_site_type_symbol
_atom_site_fract_x
_atom_site_fract_y
_atom_site_fract_z
_atom_site_occupancy
Cr1 Cr 0.500 0.000 0.000 1
Cr2 Cr 0.000 0.500 0.000 1
Cr3 Cr 0.000 0.000 0.500 1
Zn1 Zn 0.000 0.000 0.000 1
Co1 Co 0.500 0.500 0.500 1
```

=====

[2]
An optimized crystal structure of Pa3Ta. Source: the Alexandria database, functional GGA-PBE.

As for the total energy: -9.850 eV per atom. For the formation energy, the calculation gives 0.235 eV/atom. The symmetry is Pm-3m, No. 221. The calculation puts the magnetic moment at 0.00 μB/cell. As for the polymorph energy (0 for the lowest one): 93 meV per atom.

Cell and atoms, written as CIF:
```
data_Pa3Ta
_cell_length_a 4.571
_cell_length_b 4.571
_cell_length_c 4.571
_cell_angle_alpha 90.00
_cell_angle_beta 90.00
_cell_angle_gamma 90.00
_space_group_name_H-M_alt 'P 1'
_space_group_IT_number 1
_space_group_name_Hall 'P 1'
loop_
_atom_site_label
_atom_site_type_symbol
_atom_site_fract_x
_atom_site_fract_y
_atom_site_fract_z
_atom_site_occupancy
Ta1 Ta 0.000 0.000 0.000 1
Pa1 Pa 0.000 0.500 0.500 1
Pa2 Pa 0.500 0.500 0.000 1
Pa3 Pa 0.500 0.000 0.500 1
```

=====

[3]
An optimized crystal structure of Li4PuAs2. Source: the Alexandria database, functional GGA-PBE.

As for the total energy: -5.164 eV per atom. For the formation energy, the calculation gives -0.694 eV/atom. The symmetry is P4_2/mnm, No. 136. The calculation puts the magnetic moment at 11.93 μB/cell.

Cell and atoms, written as CIF:
```
data_Li4PuAs2
_cell_length_a 4.197
_cell_length_b 7.684
_cell_length_c 7.684
_cell_angle_alpha 90.00
_cell_angle_beta 90.00
_cell_angle_gamma 90.00
_space_group_name_H-M_alt 'P 1'
_space_group_IT_number 1
_space_group_name_Hall 'P 1'
loop_
_atom_site_label
_atom_site_type_symbol
_atom_site_fract_x
_atom_site_fract_y
_atom_site_fract_z
_atom_site_occupancy
Li1 Li 0.500 0.598 0.165 1
Li2 Li 0.000 0.335 0.098 1
As1 As 0.500 0.711 0.711 1
Li3 Li 0.000 0.665 0.902 1
Li4 Li 0.000 0.902 0.665 1
Li5 Li 0.500 0.835 0.402 1
As2 As 0.000 0.789 0.211 1
Li6 Li 0.000 0.098 0.335 1
Li7 Li 0.500 0.165 0.598 1
As3 As 0.000 0.211 0.789 1
Pu1 Pu 0.500 0.000 0.000 1
Li8 Li 0.500 0.402 0.835 1
As4 As 0.500 0.289 0.289 1
Pu2 Pu 0.000 0.500 0.500 1
```

=====

[4]
An optimized crystal structure of ZrPI. Source: the Alexandria database, functional GGA-PBE.

As for the total energy: -6.120 eV per atom. The formation energy (no corrections) is -0.95 eV per atom. The symmetry is P-1, No. 2. The calculation puts the magnetic moment at 0.00 μB/cell. As for the polymorph energy (0 for the lowest one): 1 meV per atom.

Cell and atoms, written as CIF:
```
data_ZrPI
_cell_length_a 3.928
_cell_length_b 5.183
_cell_length_c 10.646
_cell_angle_alpha 102.87
_cell_angle_beta 90.16
_cell_angle_gamma 90.00
_space_group_name_H-M_alt 'P 1'
_space_group_IT_number 1
_space_group_name_Hall 'P 1'
loop_
_atom_site_label
_atom_site_type_symbol
_atom_site_fract_x
_atom_site_fract_y
_atom_site_fract_z
_atom_site_occupancy
I1 I 0.752 0.888 0.802 1
I2 I 0.248 0.112 0.198 1
P1 P 0.251 0.287 0.580 1
Zr1 Zr 0.251 0.789 0.585 1
Zr2 Zr 0.749 0.211 0.415 1
P2 P 0.749 0.713 0.420 1
```

=====

[5]
An optimized crystal structure of Lu2MgZn. Source: the Alexandria database, functional GGA-PBE.

As for the total energy: -3.137 eV per atom. For the formation energy, the calculation gives -0.159 eV/atom. The symmetry is Fm-3m, No. 225. The calculation puts the magnetic moment at 0.00 μB/cell. As for the polymorph energy (0 for the lowest one): 39 meV per atom.

Cell and atoms, written as CIF:
```
data_Lu2MgZn
_cell_length_a 5.095
_cell_length_b 5.095
_cell_length_c 5.095
_cell_angle_alpha 60.00
_cell_angle_beta 60.00
_cell_angle_gamma 60.00
_space_group_name_H-M_alt 'P 1'
_space_group_IT_number 1
_space_group_name_Hall 'P 1'
loop_
_atom_site_label
_atom_site_type_symbol
_atom_site_fract_x
_atom_site_fract_y
_atom_site_fract_z
_atom_site_occupancy
Lu1 Lu 0.250 0.250 0.250 1
Zn1 Zn 0.000 0.000 0.000 1
Mg1 Mg 0.500 0.500 0.500 1
Lu2 Lu 0.750 0.750 0.750 1
```

=====

[6]
An optimized crystal structure of Si2AgSb. Source: the Alexandria database, functional GGA-PBE.

As for the total energy: -3.923 eV per atom. The formation energy (no corrections) is 0.53 eV per atom. The symmetry is R-3m, No. 166. The calculation puts the magnetic moment at 0.00 μB/cell.

Cell and atoms, written as CIF:
```
data_Si2AgSb
_cell_length_a 9.062
_cell_length_b 9.062
_cell_length_c 9.062
_cell_angle_alpha 20.35
_cell_angle_beta 20.35
_cell_angle_gamma 20.35
_space_group_name_H-M_alt 'P 1'
_space_group_IT_number 1
_space_group_name_Hall 'P 1'
loop_
_atom_site_label
_atom_site_type_symbol
_atom_site_fract_x
_atom_site_fract_y
_atom_site_fract_z
_atom_site_occupancy
Si1 Si 0.508 0.508 0.508 1
Sb1 Sb 0.750 0.750 0.750 1
Ag1 Ag 0.250 0.250 0.250 1
Si2 Si 0.992 0.992 0.992 1
```

=====

[7]
An optimized crystal structure of CaPr3Ni. Source: the Alexandria database, functional GGA-PBE.

As for the total energy: -4.417 eV per atom. For the formation energy, the calculation gives 0.007 eV/atom. The symmetry is C2/m, No. 12. The calculation puts the magnetic moment at 0.00 μB/cell. As for the polymorph energy (0 for the lowest one): 0 meV per atom.

Cell and atoms, written as CIF:
```
data_CaPr3Ni
_cell_length_a 7.538
_cell_length_b 7.535
_cell_length_c 8.038
_cell_angle_alpha 89.95
_cell_angle_beta 62.02
_cell_angle_gamma 59.98
_space_group_name_H-M_alt 'P 1'
_space_group_IT_number 1
_space_group_name_Hall 'P 1'
loop_
_atom_site_label
_atom_site_type_symbol
_atom_site_fract_x
_atom_site_fract_y
_atom_site_fract_z
_atom_site_occupancy
Ni1 Ni 0.050 0.930 0.734 1
Pr1 Pr 0.032 0.691 0.010 1
Ca1 Ca 0.886 0.511 0.480 1
Pr2 Pr 0.032 0.187 0.010 1
Pr3 Pr 0.535 0.187 0.010 1
Pr4 Pr 0.394 0.506 0.469 1
Ca2 Ca 0.540 0.685 0.999 1
Ni2 Ni 0.376 0.267 0.745 1
Pr5 Pr 0.891 0.009 0.470 1
Pr6 Pr 0.395 0.009 0.469 1
```

=====

[8]
An optimized crystal structure of Rb2CdN2. Source: the Alexandria database, functional GGA-PBE.

As for the total energy: -3.881 eV per atom. The formation energy (no corrections) is 0.02 eV per atom. The symmetry is P4/mbm, No. 127. The calculation puts the magnetic moment at 1.52 μB/cell.

Cell and atoms, written as CIF:
```
data_Rb2CdN2
_cell_length_a 9.442
_cell_length_b 9.442
_cell_length_c 3.841
_cell_angle_alpha 90.00
_cell_angle_beta 90.00
_cell_angle_gamma 90.00
_space_group_name_H-M_alt 'P 1'
_space_group_IT_number 1
_space_group_name_Hall 'P 1'
loop_
_atom_site_label
_atom_site_type_symbol
_atom_site_fract_x
_atom_site_fract_y
_atom_site_fract_z
_atom_site_occupancy
Rb1 Rb 0.764 0.736 0.500 1
N1 N 0.457 0.957 0.000 1
Rb2 Rb 0.264 0.764 0.500 1
Rb3 Rb 0.236 0.264 0.500 1
Cd1 Cd 0.000 0.000 0.000 1
N2 N 0.043 0.457 0.000 1
N3 N 0.957 0.543 0.000 1
Rb4 Rb 0.736 0.236 0.500 1
Cd2 Cd 0.500 0.500 0.000 1
N4 N 0.543 0.043 0.000 1
```

=====

[9]
An optimized crystal structure of MnPIr2. Source: the Alexandria database, functional GGA-PBE.

As for the total energy: -8.190 eV per atom. For the formation energy, the calculation gives -0.115 eV/atom. The symmetry is P2/m, No. 10. The calculation puts the magnetic moment at 3.04 μB/cell.

Cell and atoms, written as CIF:
```
data_MnPIr2
_cell_length_a 3.913
_cell_length_b 2.867
_cell_length_c 5.192
_cell_angle_alpha 73.68
_cell_angle_beta 90.00
_cell_angle_gamma 90.00
_space_group_name_H-M_alt 'P 1'
_space_group_IT_number 1
_space_group_name_Hall 'P 1'
loop_
_atom_site_label
_atom_site_type_symbol
_atom_site_fract_x
_atom_site_fract_y
_atom_site_fract_z
_atom_site_occupancy
Ir1 Ir 0.000 0.632 0.513 1
Mn1 Mn 0.500 0.250 0.250 1
P1 P 0.500 0.750 0.750 1
Ir2 Ir 0.000 0.868 0.987 1
```

=====

[10]
An optimized crystal structure of CdSn2GeAs4. Source: the Alexandria database, functional GGA-PBE.

As for the total energy: -4.006 eV per atom. For the formation energy, the calculation gives 0.011 eV/atom. The symmetry is Fmm2, No. 42. The calculation puts the magnetic moment at 0.00 μB/cell.

Cell and atoms, written as CIF:
```
data_CdSn2GeAs4
_cell_length_a 6.228
_cell_length_b 6.228
_cell_length_c 7.591
_cell_angle_alpha 114.18
_cell_angle_beta 114.18
_cell_angle_gamma 90.08
_space_group_name_H-M_alt 'P 1'
_space_group_IT_number 1
_space_group_name_Hall 'P 1'
loop_
_atom_site_label
_atom_site_type_symbol
_atom_site_fract_x
_atom_site_fract_y
_atom_site_fract_z
_atom_site_occupancy
Sn1 Sn 0.250 0.750 0.500 1
As1 As 0.620 0.620 0.762 1
Cd1 Cd 0.000 0.000 0.000 1
As2 As 0.858 0.380 0.238 1
As3 As 0.142 0.142 0.762 1
Sn2 Sn 0.750 0.250 0.500 1
As4 As 0.380 0.858 0.238 1
Ge1 Ge 0.500 0.500 0.000 1
```

=====

[11]
An optimized crystal structure of MnHg2Se. Source: the Alexandria database, functional GGA-PBE.

As for the total energy: -3.092 eV per atom. The formation energy (no corrections) is 0.22 eV per atom. The symmetry is R-3m, No. 166. The calculation puts the magnetic moment at 4.50 μB/cell.

Cell and atoms, written as CIF:
```
data_MnHg2Se
_cell_length_a 7.265
_cell_length_b 7.265
_cell_length_c 7.265
_cell_angle_alpha 31.60
_cell_angle_beta 31.60
_cell_angle_gamma 31.60
_space_group_name_H-M_alt 'P 1'
_space_group_IT_number 1
_space_group_name_Hall 'P 1'
loop_
_atom_site_label
_atom_site_type_symbol
_atom_site_fract_x
_atom_site_fract_y
_atom_site_fract_z
_atom_site_occupancy
Hg1 Hg 0.502 0.502 0.502 1
Se1 Se 0.750 0.750 0.750 1
Mn1 Mn 0.250 0.250 0.250 1
Hg2 Hg 0.998 0.998 0.998 1
```

=====

[12]
An optimized crystal structure of Nb2VGe3. Source: the Alexandria database, functional GGA-PBE.

As for the total energy: -7.230 eV per atom. For the formation energy, the calculation gives -0.045 eV/atom. The symmetry is C2/c, No. 15. The calculation puts the magnetic moment at 1.66 μB/cell.

Cell and atoms, written as CIF:
```
data_Nb2VGe3
_cell_length_a 5.212
_cell_length_b 7.394
_cell_length_c 6.324
_cell_angle_alpha 106.96
_cell_angle_beta 114.34
_cell_angle_gamma 90.00
_space_group_name_H-M_alt 'P 1'
_space_group_IT_number 1
_space_group_name_Hall 'P 1'
loop_
_atom_site_label
_atom_site_type_symbol
_atom_site_fract_x
_atom_site_fract_y
_atom_site_fract_z
_atom_site_occupancy
Nb1 Nb 0.677 0.088 0.352 1
Ge1 Ge 0.505 0.250 0.000 1
V1 V 0.993 0.750 0.000 1
Ge2 Ge 0.155 0.077 0.308 1
Ge3 Ge 0.845 0.923 0.692 1
Ge4 Ge 0.153 0.577 0.308 1
Nb2 Nb 0.325 0.412 0.648 1
Ge5 Ge 0.495 0.750 0.000 1
Ge6 Ge 0.847 0.423 0.692 1
Nb3 Nb 0.323 0.912 0.648 1
V2 V 0.007 0.250 0.000 1
Nb4 Nb 0.675 0.588 0.352 1
```